# Pr4ErTm7 | Alexandria via LeMat-Bulk | PBE | optimized geometry
# - Formation energy: 0.3 eV per formula unit
# - VASP energy: -4.554 eV per atom
# - Magnetic moment: 0.0000 μB per atom
data_Pr4ErTm7
_cell_length_a 7.119
_cell_length_b 7.989
_cell_length_c 11.793
_cell_angle_alpha 61.79
_cell_angle_beta 41.18
_cell_angle_gamma 63.35
_space_group_name_H-M_alt 'P 1'
_space_group_IT_number 1
loop_
_space_group_symop_operation_xyz
'x,y,z'
loop_
_atom_site_label
_atom_site_fract_x
_atom_site_fract_y
_atom_site_fract_z
Pr1 0.504 0.665 0.331
Pr2 0.496 0.335 0.669
Pr3 0.749 0.830 0.668
Pr4 0.251 0.170 0.332
Er1 0.000 0.000 0.000
Tm1 0.751 0.501 0.999
Tm2 0.249 0.499 0.001
Tm3 0.997 0.330 0.670
Tm4 0.003 0.670 0.330
Tm5 0.246 0.835 0.669
Tm6 0.500 0.000 0.000
Tm7 0.754 0.165 0.331

# Pr2Er2Tm15 | Alexandria via LeMat-Bulk | PBE | optimized geometry
# - Formation energy: 5.6 eV per formula unit
# - VASP energy: -4.217 eV per atom
# - Magnetic moment: 0.0001 μB per atom
data_Pr2Er2Tm15
_cell_length_a 8.631
_cell_length_b 8.631
_cell_length_c 8.631
_cell_angle_alpha 79.99
_cell_angle_beta 79.99
_cell_angle_gamma 79.99
_space_group_name_H-M_alt 'P 1'
_space_group_IT_number 1
loop_
_space_group_symop_operation_xyz
'x,y,z'
loop_
_atom_site_label
_atom_site_fract_x
_atom_site_fract_y
_atom_site_fract_z
Pr1 0.882 0.882 0.882
Pr2 0.118 0.118 0.118
Er1 0.669 0.669 0.669
Er2 0.331 0.331 0.331
Tm1 0.000 0.500 0.000
Tm2 0.000 0.000 0.500
Tm3 0.500 0.000 0.000
Tm4 0.306 0.000 0.694
Tm5 0.694 0.306 0.000
Tm6 0.000 0.694 0.306
Tm7 0.306 0.694 0.000
Tm8 0.000 0.306 0.694
Tm9 0.694 0.000 0.306
Tm10 0.367 0.847 0.367
Tm11 0.367 0.367 0.847
Tm12 0.847 0.367 0.367
Tm13 0.633 0.153 0.633
Tm14 0.633 0.633 0.153
Tm15 0.153 0.633 0.633

# Pr4ErTm5 | Alexandria via LeMat-Bulk | PBE | optimized geometry
# - Formation energy: 2.0 eV per formula unit
# - Offset from the most stable computed form: 170 meV per atom
# - VASP energy: -4.407 eV per atom
# - Magnetic moment: 0.0000 μB per atom
data_Pr4ErTm5
_cell_length_a 3.512
_cell_length_b 11.342
_cell_length_c 8.702
_cell_angle_alpha 90.04
_cell_angle_beta 101.58
_cell_angle_gamma 90.00
_space_group_name_H-M_alt 'P 1'
_space_group_IT_number 1
loop_
_space_group_symop_operation_xyz
'x,y,z'
loop_
_atom_site_label
_atom_site_fract_x
_atom_site_fract_y
_atom_site_fract_z
Pr1 0.660 0.250 0.322
Pr2 0.967 0.250 0.933
Pr3 0.340 0.750 0.678
Pr4 0.033 0.750 0.067
Er1 0.500 0.000 0.000
Tm1 0.172 0.545 0.345
Tm2 0.172 0.954 0.345
Tm3 0.828 0.046 0.655
Tm4 0.500 0.500 0.000
Tm5 0.828 0.455 0.655

# PrErTm2 | Alexandria via LeMat-Bulk | PBE | optimized geometry
# - Formation energy: 0.9 eV per formula unit
# - Offset from the most stable computed form: 194 meV per atom
# - VASP energy: -4.358 eV per atom
# - Magnetic moment: 0.0000 μB per atom
data_PrErTm2
_cell_length_a 6.884
_cell_length_b 6.927
_cell_length_c 13.039
_cell_angle_alpha 122.14
_cell_angle_beta 90.00
_cell_angle_gamma 90.00
_space_group_name_H-M_alt 'P 1'
_space_group_IT_number 1
loop_
_space_group_symop_operation_xyz
'x,y,z'
loop_
_atom_site_label
_atom_site_fract_x
_atom_site_fract_y
_atom_site_fract_z
Pr1 0.372 0.014 0.389
Pr2 0.628 0.986 0.611
Pr3 0.372 0.486 0.111
Pr4 0.628 0.514 0.889
Er1 0.122 0.490 0.613
Er2 0.878 0.510 0.387
Er3 0.122 0.010 0.887
Er4 0.878 0.990 0.113
Tm1 0.625 0.011 0.888
Tm2 0.375 0.989 0.112
Tm3 0.625 0.489 0.612
Tm4 0.375 0.511 0.388
Tm5 0.875 0.487 0.113
Tm6 0.125 0.513 0.887
Tm7 0.875 0.013 0.387
Tm8 0.125 0.987 0.613